Cd3In5Hg4: relaxed, GGA-PBE.

abc: 6.3719 10.0118 13.8672
angles: 140.41 61.16 143.67
Sites, in units of the cell vectors:
Hg 0.8526 0.6797 0.8297
Hg 0.1474 0.3203 0.1703
Hg 0.9038 0.8268 0.6587
Hg 0.0962 0.1732 0.3413
In 0.6700 0.3375 0.1742
In 0.2637 0.5047 0.9947
In 0.5000 0.0000 0.5000
In 0.3300 0.6625 0.8258
In 0.7363 0.4953 0.0053
Cd 0.4130 0.8338 0.6589
Cd 0.0000 0.0000 0.5000
Cd 0.5870 0.1662 0.3411

Formation energy in meV/atom: 25
Uncorrected energy in eV/atom: -1.445
Fermi-level density of states in states/eV/cell: 4.32

=====

Tb2Pr4TmMg: relaxed, GGA-PBE.

abc: 5.1178 5.1176 11.2115
angles: 62.82 90.00 90.00
Sites, in units of the cell vectors:
Tb 0.5000 0.0000 0.5000
Tb 0.0000 0.0000 0.0000
Pr 0.0000 0.2530 0.2468
Pr 0.0000 0.7470 0.7532
Pr 0.5000 0.7522 0.2471
Pr 0.5000 0.2478 0.7529
Tm 0.0000 0.5000 0.5000
Mg 0.5000 0.5000 0.0000

Formation energy in meV/atom: 5
Uncorrected energy in eV/atom: -4.300
Fermi-level density of states in states/eV/cell: 10.11

=====

LiSbPb2: relaxed, GGA-PBE.

abc: 3.4106 3.4106 9.2390
angles: 90.00 90.00 89.98
Sites, in units of the cell vectors:
Pb 0.0000 0.0000 0.9723
Pb 0.5000 0.5000 0.2527
Sb 0.0000 0.0000 0.5407
Li 0.5000 0.5000 0.7343

Uncorrected energy in eV/atom: -3.481
Energy relative to the elements, uncorrected in eV per atom: -0.12
Fermi-level density of states in states/eV/cell: 1.02

=====

La3SnH3: relaxed, GGA-PBE.

abc: 7.0924 7.0924 8.5705
angles: 65.56 65.56 60.00
Sites, in units of the cell vectors:
H 0.8677 0.5346 0.3843
H 0.7866 0.1323 0.6157
H 0.2134 0.8677 0.3843
H 0.4654 0.7866 0.6157
H 0.1323 0.4654 0.6157
H 0.5346 0.2134 0.3843
Sn 0.3341 0.3341 0.9978
Sn 0.6659 0.6659 0.0022
La 0.4322 0.0953 0.7052
La 0.7673 0.4322 0.7052
La 0.5678 0.9047 0.2948
La 0.2327 0.5678 0.2948
La 0.0953 0.7673 0.7052
La 0.9047 0.2327 0.2948

Uncorrected energy in eV/atom: -4.648
Fermi-level density of states in states/eV/cell: 8.63

=====

HfMnPb: relaxed, GGA-PBE.

abc: 5.6056 3.2988 13.5741
angles: 90.00 105.88 90.00
Sites, in units of the cell vectors:
Hf 0.1582 0.5000 0.8472
Hf 0.8418 0.0000 0.6528
Hf 0.8418 0.5000 0.1528
Hf 0.1582 0.0000 0.3472
Mn 0.6536 0.5000 0.7624
Mn 0.3464 0.5000 0.2376
Mn 0.3464 0.0000 0.7376
Mn 0.6536 0.0000 0.2624
Pb 0.2897 0.5000 0.5663
Pb 0.7103 0.0000 0.9337
Pb 0.2897 0.0000 0.0663
Pb 0.7103 0.5000 0.4337

Formation energy in meV/atom: 148
Uncorrected energy in eV/atom: -7.462
Fermi-level density of states in states/eV/cell: 8.95

=====

CuMo2Pt: relaxed, GGA-PBE.

abc: 4.9834 4.9834 4.9834
angles: 135.75 136.10 64.10
Sites, in units of the cell vectors:
Pt 0.2500 0.7500 0.5000
Mo 0.4998 0.4998 0.0000
Mo 0.0002 0.0002 0.0000
Cu 0.7500 0.2500 0.5000

Formation energy in meV/atom: -28
Uncorrected energy in eV/atom: -7.978
Fermi-level density of states in states/eV/cell: 4.51

=====

Sm2Dy3ScAs6: relaxed, GGA-PBE.

abc: 4.1196 8.2317 9.2021
angles: 102.99 102.93 90.00
Sites, in units of the cell vectors:
Sm 0.1649 0.3309 0.3298
Sm 0.8351 0.6691 0.6702
Dy 0.8323 0.1654 0.6646
Dy 0.5000 0.5000 0.0000
Dy 0.1677 0.8346 0.3354
As 0.6626 0.0767 0.3251
As 0.3374 0.9233 0.6749
As 0.0024 0.7611 0.0047
As 0.3346 0.4132 0.6692
As 0.9976 0.2389 0.9953
As 0.6654 0.5868 0.3308
Sc 0.5000 0.0000 0.0000

Formation energy in meV/atom: -1485
Uncorrected energy in eV/atom: -6.275
Fermi-level density of states in states/eV/cell: 1.79